Na2DyNiF8: optimized geometry, PBE with a Hubbard U.

The space group is P2/m (No. 10) and the conventional cell measures 4.7833, 6.6968 and 5.2911 Å, with angles of 90.00, 91.35 and 90.00 degrees. The distinct sites, in fractional coordinates, are Na at (0.0000, 0.2353, 0.0000), Dy at (0.5000, 0.5000, 0.5000), Ni at (0.5000, 0.0000, 0.5000), F at (0.1768, 0.5000, 0.2157), F at (0.2243, 0.0000, 0.2499) and F at (0.3217, 0.2253, 0.6790).

The total energy comes out at -59.0 eV per cell. The volume is 14.1 A^3/atom. The density of states at the Fermi level comes out at 0.00 states/eV/cell.